## LiAsOs (GGA-PBE)

Data for crystalline LiAsOs at its relaxed geometry.

Results
Total magnetic moment: 0.000 μB/cell
Energy: -17.8 eV per cell

Lattice parameters (Å, degrees): 4.0365 4.0365 4.0365 60.00 60.00 60.00
Last column: nearest neighbours and their distance in Å.
Fractional positions:
Li  0.0000  0.0000  0.0000  4 As 2.47
As  0.7500  0.7500  0.7500  4 Os 2.47, 4 Li 2.47
Os  0.5000  0.5000  0.5000  4 As 2.47